Record 1
Material: MgSbAs
Method: DFT, GGA-PBEsol
State: relaxed

Cell and atoms, written as POSCAR:
```
MgSbAs
1.0
-1.764 -3.678 2.489
2.585 -3.983 0.534
1.842 -1.098 4.270
Sb As Mg
1 1 1
Direct
0.500 0.500 0.500 Sb
0.250 0.250 0.250 As
0.000 0.000 0.000 Mg
```

Its symmetry is No. 216. The value obtained for the volume is 25.72 Å³/atom. The calculation puts the final energy at -11.2 eV/f.u.

***

Record 2
Material: Na2SbPdW
Method: DFT, GGA-PBEsol
State: relaxed

Cell and atoms, written as POSCAR:
```
Na2SbPdW
1.0
5.104 0.000 0.000
0.000 5.383 0.000
0.000 0.000 5.383
Sb Pd W Na
1 1 1 2
Direct
0.000 0.000 0.000 Sb
0.500 0.500 0.500 Pd
0.500 0.000 0.000 W
0.000 0.000 0.500 Na
0.000 0.500 0.000 Na
```

Its symmetry is No. 123. The value obtained for the volume is 29.58 Å³/atom. The calculation puts the final energy at -20.3 eV/f.u.

***

Record 3
Material: LiMnP
Method: DFT, GGA-PBEsol
State: relaxed

Cell and atoms, written as POSCAR:
```
LiMnP
1.0
3.594 0.000 0.000
0.000 3.594 0.000
0.000 0.000 6.118
P Mn Li
2 2 2
Direct
0.000 0.500 0.773 P
0.500 0.000 0.227 P
0.000 0.000 0.000 Mn
0.500 0.500 0.000 Mn
0.000 0.500 0.351 Li
0.500 0.000 0.649 Li
```

Its symmetry is No. 129. The value obtained for the volume is 13.17 Å³/atom. The calculation puts the final energy at -19.4 eV/f.u. As for the formation enthalpy at 0 K: -0.620 eV per atom.

***

Record 4
Material: Be2CuSe
Method: DFT, GGA-PBEsol
State: relaxed

Cell and atoms, written as POSCAR:
```
Be2CuSe
1.0
3.372 0.000 0.000
0.000 3.372 0.000
0.000 -1.686 4.895
Be Cu Se
2 1 1
Direct
0.000 0.869 0.737 Be
0.500 0.375 0.751 Be
0.000 0.223 0.446 Cu
0.500 0.025 0.050 Se
```

Its symmetry is No. 38. The value obtained for the volume is 13.92 Å³/atom. The calculation puts the final energy at -16.0 eV/f.u.

***

Record 5
Material: Ti2Be2Sb
Method: DFT, GGA-PBEsol
State: relaxed

Cell and atoms, written as POSCAR:
```
Ti2Be2Sb
1.0
-0.359 -1.527 -4.110
-1.056 -3.973 1.568
-4.836 1.266 -0.048
Sb Be Ti
1 2 2
Direct
0.000 0.000 0.000 Sb
0.000 0.500 0.000 Be
0.500 0.000 0.000 Be
0.500 0.500 0.500 Ti
0.000 0.000 0.500 Ti
```

Its symmetry is No. 123. The value obtained for the volume is 19.35 Å³/atom. The calculation puts the final energy at -23.2 eV/f.u.

***

Record 6
Material: Cr2CoMo
Method: DFT, GGA-PBEsol
State: relaxed

Cell and atoms, written as POSCAR:
```
Cr2CoMo
1.0
2.984 0.000 0.000
0.000 4.046 0.000
-1.492 -2.023 3.997
Co Cr Mo
1 2 1
Direct
0.000 0.500 0.000 Co
0.757 0.757 0.515 Cr
0.243 0.243 0.485 Cr
0.500 0.000 0.000 Mo
```

Its symmetry is No. 71. The value obtained for the volume is 12.06 Å³/atom. The calculation puts the final energy at -39.2 eV/f.u. As for the formation enthalpy at 0 K: 0.197 eV per atom.

***

Record 7
Material: CdHgMo2
Method: DFT, GGA-PBEsol
State: relaxed

Cell and atoms, written as POSCAR:
```
CdHgMo2
1.0
2.844 0.012 0.000
-1.061 2.638 0.000
0.000 0.000 9.517
Cd Hg Mo
1 1 2
Direct
0.000 0.000 0.516 Cd
0.500 0.500 0.236 Hg
0.000 0.000 0.977 Mo
0.500 0.500 0.771 Mo
```

Its symmetry is No. 35. The value obtained for the volume is 17.88 Å³/atom. The calculation puts the final energy at -24.2 eV/f.u. As for the formation enthalpy at 0 K: 0.284 eV per atom.

***

Record 8
Material: Pt8Au
Method: DFT, GGA-PBEsol
State: relaxed

Cell and atoms, written as POSCAR:
```
Pt8Au
1.0
-1.593 2.060 2.953
-5.891 1.316 -1.470
-2.553 -3.983 4.027
Au Pt
1 8
Direct
0.000 0.000 0.000 Au
0.000 0.334 0.666 Pt
0.000 0.666 0.334 Pt
0.666 0.334 0.334 Pt
0.668 0.664 0.000 Pt
0.668 0.000 0.664 Pt
0.334 0.666 0.666 Pt
0.332 0.000 0.336 Pt
0.332 0.336 0.000 Pt
```

Its symmetry is No. 139. The value obtained for the volume is 15.19 Å³/atom. The calculation puts the final energy at -59.3 eV/f.u. As for the formation enthalpy at 0 K: 0.036 eV per atom.

***

Record 9
Material: TiPPt3
Method: DFT, GGA-PBEsol
State: relaxed

Cell and atoms, written as POSCAR:
```
TiPPt3
1.0
4.599 0.000 0.000
0.000 4.599 0.000
0.000 0.000 4.599
P Pt Ti
1 3 1
Direct
0.500 0.500 0.500 P
0.000 0.500 0.000 Pt
0.000 0.000 0.500 Pt
0.500 0.000 0.000 Pt
0.000 0.000 0.000 Ti
```

Its symmetry is No. 221. The value obtained for the volume is 19.45 Å³/atom. The calculation puts the final energy at -29.9 eV/f.u. As for the formation enthalpy at 0 K: 1.020 eV per atom.

***

Record 10
Material: CaCO3
Method: DFT, GGA-PBEsol
State: relaxed

Cell and atoms, written as POSCAR:
```
CaCO3
1.0
3.905 0.026 0.000
-1.321 3.675 0.000
0.000 0.000 8.490
Ca C O
2 2 6
Direct
0.504 0.504 0.500 Ca
0.504 0.504 0.000 Ca
0.087 0.802 0.250 C
0.802 0.087 0.750 C
0.244 0.912 0.384 O
0.912 0.244 0.616 O
0.912 0.244 0.884 O
0.244 0.912 0.116 O
0.766 0.565 0.250 O
0.565 0.766 0.750 O
```

Its symmetry is No. 40. The value obtained for the volume is 12.21 Å³/atom. The calculation puts the final energy at -38.7 eV/f.u.

***

Record 11
Material: Ba2MgTe
Method: DFT, GGA-PBEsol
State: relaxed

Cell and atoms, written as POSCAR:
```
Ba2MgTe
1.0
4.964 0.000 0.000
0.000 4.964 0.000
-2.482 -2.482 6.112
Ba Mg Te
2 1 1
Direct
0.000 0.000 0.000 Ba
0.750 0.250 0.500 Ba
0.500 0.500 0.000 Mg
0.250 0.750 0.500 Te
```

Its symmetry is No. 119. The value obtained for the volume is 37.65 Å³/atom. The calculation puts the final energy at -12.1 eV/f.u.

***

Record 12
Material: MgTiTcBi2
Method: DFT, GGA-PBEsol
State: relaxed

Cell and atoms, written as POSCAR:
```
MgTiTcBi2
1.0
-1.417 -3.780 3.211
4.933 -1.768 0.096
1.030 3.097 4.101
Mg Ti Bi Tc
1 1 2 1
Direct
0.500 0.000 0.000 Mg
0.000 0.000 0.000 Ti
0.000 0.000 0.500 Bi
0.000 0.500 0.000 Bi
0.500 0.500 0.500 Tc
```

Its symmetry is No. 123. The value obtained for the volume is 28.33 Å³/atom. The calculation puts the final energy at -23.6 eV/f.u. As for the formation enthalpy at 0 K: 1.264 eV per atom.